[1]
ThInGaRh3, relaxed, DFT PBE; final energy = -6.319 eV/atom; size of the total moment = 0.000 μB/cell
1.0
2.866 -6.831 0.000
2.866 6.831 0.000
0.000 0.000 5.962
Th In Ga Rh
2 2 2 6
Cartesian
2.866 4.841 4.471
2.866 -4.841 1.490
2.866 1.750 4.471
2.866 -1.750 1.490
2.866 5.211 1.490
2.866 -5.211 4.471
1.434 0.000 0.000
1.434 0.000 2.981
2.866 2.552 1.490
2.866 -2.552 4.471
4.298 0.000 0.000
4.298 0.000 2.981

=====

[2]
Sm2Al5Pd2Au, relaxed, DFT PBE; final energy = -4.834 eV/atom; size of the total moment = 0.000 μB/cell
1.0
9.862 0.000 0.000
0.000 9.862 0.000
0.000 0.000 3.963
Sm Al Pd Au
4 10 4 2
Cartesian
1.845 3.086 0.000
3.086 8.017 0.000
6.776 1.845 0.000
8.017 6.776 0.000
0.000 4.931 1.981
0.491 7.870 1.981
1.992 0.491 1.981
2.939 5.422 1.981
4.440 2.939 1.981
4.931 0.000 1.981
5.422 6.924 1.981
6.924 4.440 1.981
7.870 9.371 1.981
9.371 1.992 1.981
1.094 6.025 0.000
3.837 1.094 0.000
6.025 8.768 0.000
8.768 3.837 0.000
0.000 0.000 0.000
4.931 4.931 0.000

=====

[3]
TaTlSn3, relaxed, DFT PBE; final energy = -4.983 eV/atom; size of the total moment = 0.000 μB/cell
1.0
5.426 0.000 0.000
0.000 5.426 0.000
0.000 0.000 5.426
Ta Tl Sn
1 1 3
Cartesian
0.000 0.000 0.000
2.713 2.713 2.713
0.000 0.000 2.713
0.000 2.713 0.000
2.713 0.000 0.000

=====

[4]
Ho3Zn2Cd2, relaxed, DFT PBE; final energy = -2.903 eV/atom; size of the total moment = 0.000 μB/cell
1.0
4.336 0.000 0.000
0.000 21.364 0.000
0.000 0.000 3.544
Ho Zn Cd
6 4 4
Cartesian
0.000 0.000 0.000
0.000 3.522 0.000
0.000 17.842 0.000
2.168 7.160 0.000
2.168 10.682 0.000
2.168 14.204 0.000
0.000 6.004 1.772
0.000 15.359 1.772
2.168 4.677 1.772
2.168 16.686 1.772
0.000 8.939 1.772
0.000 12.424 1.772
2.168 1.742 1.772
2.168 19.621 1.772

=====

[5]
SrZn2Pb2, relaxed, DFT PBE; final energy = -2.487 eV/atom; size of the total moment = 0.000 μB/cell
1.0
4.757 0.000 0.000
0.000 4.757 0.000
0.000 0.000 12.342
Sr Zn Pb
2 4 4
Cartesian
0.000 0.000 0.000
2.378 2.378 6.171
0.000 2.378 3.086
0.000 2.378 9.257
2.378 0.000 3.086
2.378 0.000 9.257
0.000 0.000 4.629
0.000 0.000 7.713
2.378 2.378 1.542
2.378 2.378 10.800